(1)
First-principles (SCAN) data for a crystal of NaAgBr2 relaxed with PBEsol, as listed in Alexandria via LeMat-Bulk.

## Properties
- Formation energy (no corrections): -1.003 eV/atom
- Space-group type: I-42d
- Energy above the lowest structure with this stoichiometry: 0.000 eV per atom
- Magnetic moment: 0.00 Bohr magnetons per cell
- V: 252.26 Å³/cell
- DOS at the Fermi energy: 0.0 states/eV per cell

a b c (Å): 6.345 6.345 7.707
angles (deg): 114.31 114.31 90.00
Sites, in units of the cell vectors:
Ag  0.000  0.000  0.000
Ag  0.250  0.750  0.500
Na  0.500  0.500  0.000
Na  0.750  0.250  0.500
Br  0.353  0.875  0.250
Br  0.897  0.375  0.250
Br  0.625  0.647  0.750
Br  0.125  0.103  0.750



(2)
First-principles (SCAN) data for a crystal of Na2AgPBr relaxed with PBEsol, as listed in Alexandria via LeMat-Bulk.

## Properties
- Formation energy (no corrections): 0.149 eV/atom
- Space-group type: P4/mmm
- Magnetic moment: 1.00 Bohr magnetons per cell
- V: 148.85 Å³/cell
- DOS at the Fermi energy: 2.2 states/eV per cell

a b c (Å): 4.976 5.469 5.469
angles (deg): 90.00 90.00 90.00
Site moments in Bohr magnetons follow the coordinates.
Sites, in units of the cell vectors:
P  0.000  0.000  0.000  -0.20
Na  0.000  0.000  0.500  0.00
Na  0.000  0.500  0.000  0.00
Br  0.500  0.000  0.000  -0.08
Ag  0.500  0.500  0.500  -0.19



(3)
First-principles (SCAN) data for a crystal of NaAgSe2Br relaxed with PBEsol, as listed in Alexandria via LeMat-Bulk.

## Properties
- Formation energy (no corrections): 0.584 eV/atom
- Space-group type: P4/mmm
- Magnetic moment: 2.40 Bohr magnetons per cell
- V: 136.75 Å³/cell
- DOS at the Fermi energy: 3.5 states/eV per cell

a b c (Å): 4.955 4.955 5.569
angles (deg): 90.00 90.00 90.00
Site moments in Bohr magnetons follow the coordinates.
Sites, in units of the cell vectors:
Ag  0.000  0.000  0.500  -0.02
Se  0.500  0.000  0.000  0.66
Se  0.000  0.500  0.000  0.66
Br  0.500  0.500  0.500  0.30
Na  0.000  0.000  0.000  0.00



(4)
First-principles (SCAN) data for a crystal of Nb3AgBr relaxed with PBEsol, as listed in Alexandria via LeMat-Bulk.

## Properties
- Formation energy (no corrections): 1.872 eV/atom
- Space-group type: Pm-3m
- Magnetic moment: 0.00 Bohr magnetons per cell
- V: 119.69 Å³/cell
- DOS at the Fermi energy: 4.3 states/eV per cell

a b c (Å): 4.928 4.928 4.928
angles (deg): 90.00 90.00 90.00
Sites, in units of the cell vectors:
Ag  0.000  0.000  0.000
Nb  0.000  0.500  0.000
Nb  0.500  0.000  0.000
Nb  0.000  0.000  0.500
Br  0.500  0.500  0.500



(5)
First-principles (SCAN) data for a crystal of NbAgBr2 relaxed with PBEsol, as listed in Alexandria via LeMat-Bulk.

## Properties
- Formation energy (no corrections): -0.199 eV/atom
- Space-group type: R-3m
- Magnetic moment: 0.00 Bohr magnetons per cell
- V: 90.01 Å³/cell
- DOS at the Fermi energy: 1.7 states/eV per cell

a b c (Å): 3.216 3.216 10.219
angles (deg): 80.95 80.95 60.00
Sites, in units of the cell vectors:
Nb  0.500  0.500  0.500
Br  0.104  0.104  0.688
Br  0.896  0.896  0.312
Ag  0.000  0.000  0.000



(6)
First-principles (SCAN) data for a crystal of Rb2NdAgBr6 relaxed with PBEsol, as listed in Alexandria via LeMat-Bulk.

## Properties
- Formation energy (no corrections): -1.696 eV/atom
- Space-group type: Fm-3m
- Magnetic moment: 0.00 Bohr magnetons per cell
- V: 352.12 Å³/cell
- DOS at the Fermi energy: 0.0 states/eV per cell

a b c (Å): 7.926 7.926 7.926
angles (deg): 60.00 60.00 60.00
Sites, in units of the cell vectors:
Br  0.247  0.247  0.753
Br  0.753  0.753  0.247
Br  0.247  0.753  0.247
Br  0.247  0.753  0.753
Br  0.753  0.247  0.753
Br  0.753  0.247  0.247
Rb  0.250  0.250  0.250
Rb  0.750  0.750  0.750
Nd  0.500  0.500  0.500
Ag  0.000  0.000  0.000